[1]
Pm5PrY3 | GGA-PBE | relaxed

Cell and atoms, written as CIF:
```
data_Pm5PrY3
_chemical_formula_sum 'Pm20 Pr4 Y12'
_symmetry_space_group_name_H-M 'C 1 2/m 1'
_symmetry_Int_Tables_number 12
_cell_length_a 17.0330
_cell_length_b 8.2177
_cell_length_c 12.4977
_cell_angle_alpha 90.00
_cell_angle_beta 131.13
_cell_angle_gamma 90.00
loop_
_symmetry_equiv_pos_as_xyz
'x,y,z'
'-x,-y,-z'
'-x,y,-z'
'x,-y,z'
'x+1/2,y+1/2,z'
'-x+1/2,-y+1/2,-z'
'-x+1/2,y+1/2,-z'
'x+1/2,-y+1/2,z'
loop_
_atom_site_label
_atom_site_fract_x
_atom_site_fract_y
_atom_site_fract_z
Pm1 0.0000 0.1824 0.0000
Pm2 0.0630 0.2980 0.7762
Pm3 0.1315 0.5000 0.5724
Pm4 0.1953 0.0000 0.0651
Pr1 0.2383 0.5000 0.1308
Y1 0.0000 0.0000 0.5000
Y2 0.0000 0.5000 0.0000
Y3 0.1126 0.0000 0.3129
Y4 0.1791 0.5000 0.3435
```

Properties
- E_tot: -177.3 eV/cell
- Size of the total moment: 0.00 μB per formula unit
- ΔE to the lowest computed polymorph: 0.277 eV/atom
- DOS(E_F): 1.455 states/eV per atom

---

[2]
Pm3Pr3Y4 | GGA-PBE | relaxed

Cell and atoms, written as CIF:
```
data_Pm3Pr3Y4
_chemical_formula_sum 'Pm6 Pr6 Y8'
_symmetry_space_group_name_H-M 'A m m 2'
_symmetry_Int_Tables_number 38
_cell_length_a 3.6915
_cell_length_b 13.7428
_cell_length_c 13.7520
_cell_angle_alpha 90.00
_cell_angle_beta 90.00
_cell_angle_gamma 90.00
loop_
_symmetry_equiv_pos_as_xyz
'x,y,z'
'-x,-y,z'
'-x,y,z'
'x,-y,z'
'x,y+1/2,z+1/2'
'-x,-y+1/2,z+1/2'
'-x,y+1/2,z+1/2'
'x,-y+1/2,z+1/2'
loop_
_atom_site_label
_atom_site_fract_x
_atom_site_fract_y
_atom_site_fract_z
Pm1 0.0000 0.0000 0.0000
Pm2 0.5000 0.2490 0.0742
Pr1 0.0000 0.0000 0.6501
Pr2 0.0000 0.1753 0.3244
Y1 0.5000 0.0000 0.2010
Y2 0.5000 0.0000 0.4476
Y3 0.5000 0.1226 0.8262
```

Properties
- E_tot: -106.8 eV/cell
- Size of the total moment: 0.30 μB per formula unit
- DOS(E_F): 0.988 states/eV per atom

---

[3]
Pm7Pr2Y4 | GGA-PBE | relaxed

Cell and atoms, written as CIF:
```
data_Pm7Pr2Y4
_chemical_formula_sum 'Pm7 Pr2 Y4'
_symmetry_space_group_name_H-M 'P -1'
_symmetry_Int_Tables_number 2
_cell_length_a 6.2932
_cell_length_b 8.9866
_cell_length_c 9.0077
_cell_angle_alpha 68.38
_cell_angle_beta 81.89
_cell_angle_gamma 81.78
loop_
_symmetry_equiv_pos_as_xyz
'x,y,z'
'-x,-y,-z'
loop_
_atom_site_label
_atom_site_fract_x
_atom_site_fract_y
_atom_site_fract_z
Pm1 0.0000 0.0000 0.0000
Pm2 0.1707 0.7682 0.4030
Pm3 0.3110 0.6418 0.9950
Pm4 0.3799 0.3917 0.3938
Pr1 0.3092 0.9873 0.6440
Y1 0.1464 0.2219 0.2119
Y2 0.1710 0.4058 0.7719
```

Properties
- E_tot: -66.4 eV/cell
- Size of the total moment: 0.00 μB per formula unit
- DOS(E_F): 1.575 states/eV per atom

---

[4]
Pm12Pr2Y5 | GGA-PBE | relaxed

Cell and atoms, written as CIF:
```
data_Pm12Pr2Y5
_chemical_formula_sum 'Pm24 Pr4 Y10'
_symmetry_space_group_name_H-M 'C 1 2/m 1'
_symmetry_Int_Tables_number 12
_cell_length_a 18.0285
_cell_length_b 11.7931
_cell_length_c 6.2600
_cell_angle_alpha 90.00
_cell_angle_beta 102.56
_cell_angle_gamma 90.00
loop_
_symmetry_equiv_pos_as_xyz
'x,y,z'
'-x,-y,-z'
'-x,y,-z'
'x,-y,z'
'x+1/2,y+1/2,z'
'-x+1/2,-y+1/2,-z'
'-x+1/2,y+1/2,-z'
'x+1/2,-y+1/2,z'
loop_
_atom_site_label
_atom_site_fract_x
_atom_site_fract_y
_atom_site_fract_z
Pm1 0.0554 0.0000 0.2754
Pm2 0.1042 0.2504 0.6142
Pm3 0.1237 0.5000 0.9956
Pm4 0.1987 0.2423 0.2000
Pr1 0.0000 0.2746 0.0000
Y1 0.0000 0.5000 0.5000
Y2 0.1756 0.0000 0.8594
Y3 0.2149 0.5000 0.5477
```

Properties
- E_tot: -194.2 eV/cell
- Size of the total moment: 0.00 μB per formula unit
- ΔE to the lowest computed polymorph: 0.000 eV/atom
- DOS(E_F): 1.428 states/eV per atom

---

[5]
Pm12PrY6 | GGA-PBE | relaxed

Cell and atoms, written as CIF:
```
data_Pm12PrY6
_chemical_formula_sum 'Pm36 Pr3 Y18'
_symmetry_space_group_name_H-M 'R -3'
_symmetry_Int_Tables_number 148
_symmetry_space_group_name_Hall '-R 3'
_cell_length_a 12.1968
_cell_length_b 12.1968
_cell_length_c 15.2849
_cell_angle_alpha 90.00
_cell_angle_beta 90.00
_cell_angle_gamma 120.00
loop_
_atom_site_label
_atom_site_fract_x
_atom_site_fract_y
_atom_site_fract_z
Pm1 0.0081 0.8322 0.1926
Pm2 0.0456 0.8502 0.4170
Pr1 0.0000 0.0000 0.0000
Y1 0.0121 0.4253 0.6852
```

Properties
- E_tot: -294.0 eV/cell
- Size of the total moment: 0.00 μB per formula unit
- ΔE to the lowest computed polymorph: 0.000 eV/atom
- DOS(E_F): 1.714 states/eV per atom

---

[6]
Pm2Pr4Y3 | GGA-PBE | relaxed

Cell and atoms, written as CIF:
```
data_Pm2Pr4Y3
_chemical_formula_sum 'Pm4 Pr8 Y6'
_symmetry_space_group_name_H-M 'C 1 2/m 1'
_symmetry_Int_Tables_number 12
_cell_length_a 15.4721
_cell_length_b 5.1822
_cell_length_c 8.1668
_cell_angle_alpha 90.00
_cell_angle_beta 108.48
_cell_angle_gamma 90.00
loop_
_symmetry_equiv_pos_as_xyz
'x,y,z'
'-x,-y,-z'
'-x,y,-z'
'x,-y,z'
'x+1/2,y+1/2,z'
'-x+1/2,-y+1/2,-z'
'-x+1/2,y+1/2,-z'
'x+1/2,-y+1/2,z'
loop_
_atom_site_label
_atom_site_fract_x
_atom_site_fract_y
_atom_site_fract_z
Pm1 0.0547 0.0000 0.3342
Pr1 0.1663 0.0000 0.0005
Pr2 0.2217 0.5000 0.3345
Y1 0.0000 0.5000 0.0000
Y2 0.1098 0.5000 0.6673
```

Properties
- E_tot: -95.8 eV/cell
- Size of the total moment: 0.00 μB per formula unit
- ΔE to the lowest computed polymorph: 0.000 eV/atom
- DOS(E_F): 1.495 states/eV per atom

---

[7]
Pm3Pr2Y5 | GGA-PBE | relaxed

Cell and atoms, written as CIF:
```
data_Pm3Pr2Y5
_chemical_formula_sum 'Pm12 Pr8 Y20'
_symmetry_space_group_name_H-M 'C 1 2/c 1'
_symmetry_Int_Tables_number 15
_cell_length_a 10.7774
_cell_length_b 16.6402
_cell_length_c 9.3080
_cell_angle_alpha 90.00
_cell_angle_beta 125.33
_cell_angle_gamma 90.00
loop_
_symmetry_equiv_pos_as_xyz
'x,y,z'
'-x,-y,-z'
'-x,y,-z+1/2'
'x,-y,z+1/2'
'x+1/2,y+1/2,z'
'-x+1/2,-y+1/2,-z'
'-x+1/2,y+1/2,-z+1/2'
'x+1/2,-y+1/2,z+1/2'
loop_
_atom_site_label
_atom_site_fract_x
_atom_site_fract_y
_atom_site_fract_z
Pm1 0.0000 0.2262 0.2500
Pm2 0.1504 0.1242 0.0477
Pr1 0.1452 0.3761 0.5430
Y1 0.0000 0.0259 0.2500
Y2 0.0000 0.2734 0.7500
Y3 0.0000 0.4737 0.7500
Y4 0.2453 0.1203 0.7454
```

Properties
- E_tot: -217.8 eV/cell
- Size of the total moment: 0.00 μB per formula unit
- ΔE to the lowest computed polymorph: 0.000 eV/atom
- DOS(E_F): 1.662 states/eV per atom

---

[8]
Pm12Pr3Y | GGA-PBE | relaxed

Cell and atoms, written as CIF:
```
data_Pm12Pr3Y
_chemical_formula_sum 'Pm12 Pr3 Y1'
_symmetry_space_group_name_H-M 'P 4/m m m'
_symmetry_Int_Tables_number 123
_symmetry_space_group_name_Hall '-P 4 2'
_cell_length_a 5.1743
_cell_length_b 5.1743
_cell_length_c 20.6821
_cell_angle_alpha 90.00
_cell_angle_beta 90.00
_cell_angle_gamma 90.00
loop_
_atom_site_label
_atom_site_fract_x
_atom_site_fract_y
_atom_site_fract_z
Pm1 0.0000 0.0000 0.0000
Pm2 0.0000 0.0000 0.2485
Pm3 0.0000 0.0000 0.5000
Pm4 0.0000 0.5000 0.1236
Pm5 0.0000 0.5000 0.3746
Pr1 0.5000 0.5000 0.2489
Pr2 0.5000 0.5000 0.5000
Y1 0.5000 0.5000 0.0000
```

Properties
- E_tot: -77.6 eV/cell
- Size of the total moment: 0.00 μB per formula unit
- DOS(E_F): 1.526 states/eV per atom

---

- E_tot of number 5 (Pm12PrY6)?
  -294.0 eV/cell